(1)
A plane-wave DFT calculation with meta-GGA SCAN was carried out for a crystal of KCa4Ru relaxed with PBEsol.

Calculated values
For the total energy, the calculation gives -12.687 eV per atom. The space-group type is F-43m (216). The calculation puts the total magnetization at 1.20 μB/f.u. As for the energy of formation: 0.948 eV/atom.

Geometry as POSCAR:
```
KCa4Ru
1.0
6.619 0.000 0.000
3.309 5.732 0.000
3.309 1.911 5.404
Ca Ru K
4 1 1
direct
0.373 0.881 0.373
0.881 0.373 0.373
0.373 0.373 0.373
0.373 0.373 0.881
0.000 0.000 0.000
0.750 0.750 0.750
```

(2)
A plane-wave DFT calculation with meta-GGA SCAN was carried out for a crystal of KCaRu2 relaxed with PBEsol.

Calculated values
For the total energy, the calculation gives -21.454 eV per atom. The space-group type is Pm (6). The calculation puts the total magnetization at 0.01 μB/f.u. The value obtained for the offset from the most stable computed form is 0.000 eV per atom. As for the energy of formation: 0.457 eV/atom.

Geometry as POSCAR:
```
KCaRu2
1.0
2.924 0.000 0.017
0.000 3.697 0.000
0.040 0.000 9.189
Ru K Ca
2 1 1
direct
0.497 0.500 0.187
0.001 0.000 0.093
0.512 0.500 0.818
0.990 0.000 0.402
```

(3)
A plane-wave DFT calculation with meta-GGA SCAN was carried out for a crystal of KCa2Ru relaxed with PBEsol.

Calculated values
For the total energy, the calculation gives -15.183 eV per atom. The space-group type is Imm2 (44). The calculation puts the total magnetization at 0.05 μB/f.u. The value obtained for the offset from the most stable computed form is 0.000 eV per atom. As for the energy of formation: 0.438 eV/atom.

Geometry as POSCAR:
```
KCa2Ru
1.0
3.384 0.000 0.000
0.000 4.665 0.000
-1.692 -2.332 8.699
Ca K Ru
2 1 1
direct
0.751 0.251 0.502
0.893 0.893 0.786
0.589 0.589 0.177
0.267 0.767 0.534
```

(4)
A plane-wave DFT calculation with meta-GGA SCAN was carried out for a crystal of KCaSb relaxed with PBEsol.

Calculated values
For the total energy, the calculation gives -19.052 eV per atom. The space-group type is P3m1 (156). The calculation puts the total magnetization at 0.00 μB/f.u. The formation energy without anion corrections is -0.63 eV/atom.

Geometry as POSCAR:
```
KCaSb
1.0
-0.400 -0.288 -5.259
3.057 -4.171 -0.004
-5.125 -0.550 0.420
Ca Sb K
1 1 1
direct
0.141 0.000 0.000
0.217 0.667 0.333
0.641 0.333 0.667
```

(5)
A plane-wave DFT calculation with meta-GGA SCAN was carried out for a crystal of KCaSb3 relaxed with PBEsol.

Calculated values
For the total energy, the calculation gives -25.851 eV per atom. The space-group type is Pm-3m (221). The calculation puts the total magnetization at 0.00 μB/f.u. The formation energy without anion corrections is 0.10 eV/atom.

Geometry as POSCAR:
```
KCaSb3
1.0
5.717 0.000 0.000
0.000 5.717 0.000
0.000 0.000 5.717
Sb K Ca
3 1 1
direct
0.000 0.500 0.000
0.000 0.000 0.500
0.500 0.000 0.000
0.500 0.500 0.500
0.000 0.000 0.000
```

(6)
A plane-wave DFT calculation with meta-GGA SCAN was carried out for a crystal of KCaSc2 relaxed with PBEsol.

Calculated values
For the total energy, the calculation gives -11.332 eV per atom. The space-group type is P4mm (99). The calculation puts the total magnetization at 0.91 μB/f.u. The value obtained for the offset from the most stable computed form is 0.000 eV per atom. As for the energy of formation: 0.285 eV/atom.

Geometry as POSCAR:
```
KCaSc2
1.0
3.548 0.000 0.000
0.000 3.548 0.000
0.000 0.000 10.880
K Sc Ca
1 2 1
direct
0.500 0.500 0.771
0.500 0.500 0.225
0.000 0.000 0.057
0.000 0.000 0.447
```